Compound: Fe4O7F
Source: Alexandria
Functional: PBE with a Hubbard U
Structure: optimized geometry

Computed properties:
Mass density (g cm⁻³): 4.587
Total DFT energy (no corrections) (eV/atom): -6.1319

The structure in POSCAR format:
```
Fe4O7F
1.0
-5.909 -1.185 0.103
0.673 -3.803 -5.133
1.108 -5.179 3.982
Fe O F
8 14 2
Cartesian
-3.570 -4.721 3.029
-0.697 -4.145 2.979
-1.808 -6.280 0.396
1.174 -5.817 0.444
-2.684 -1.856 1.023
0.298 -1.393 1.071
-0.814 -3.528 -1.512
-3.850 -4.137 -1.459
0.627 -2.934 2.256
-2.348 -3.429 2.232
-3.147 -7.423 -0.485
-0.163 -6.825 -0.537
-3.599 -5.237 -3.078
-0.675 -4.651 -3.129
-3.407 -5.954 1.497
-0.422 -5.356 1.445
-1.917 -5.443 3.781
0.837 -4.244 -0.766
-2.138 -4.739 -0.789
0.407 -2.230 -2.314
-4.012 -2.903 0.073
-1.088 -2.317 0.022
1.054 -4.926 3.787
-2.564 -2.747 -2.321
```